# 1
DFT (PBE-GGA) results for a relaxed structure of Ho2TaP.

abc: 9.653 9.653 9.653
angles: 20.82 20.82 20.82
Atoms (fractional coordinates):
Ho 0.106 0.106 0.106
Ho 0.894 0.894 0.894
Ta 0.000 0.000 0.000
P 0.500 0.500 0.500

E	-25.90	eV/f.u.
Fermi-level density of states	4.05	states/eV/cell
total magnetic moment	1.0	μB/f.u.
space-group type	R-3m, No. 166



# 2
DFT (PBE-GGA) results for a relaxed structure of NaPbAu5.

abc: 9.321 5.627 11.828
angles: 90.00 90.00 90.00
Atoms (fractional coordinates):
Na 0.228 0.250 0.065
Na 0.272 0.750 0.565
Na 0.728 0.250 0.435
Na 0.772 0.750 0.935
Pb 0.108 0.250 0.368
Pb 0.392 0.750 0.868
Pb 0.608 0.250 0.132
Pb 0.892 0.750 0.632
Au 0.095 0.504 0.823
Au 0.095 0.996 0.823
Au 0.099 0.750 0.029
Au 0.103 0.250 0.607
Au 0.153 0.750 0.265
Au 0.347 0.250 0.765
Au 0.397 0.750 0.107
Au 0.401 0.250 0.529
Au 0.405 0.004 0.323
Au 0.405 0.496 0.323
Au 0.595 0.504 0.677
Au 0.595 0.996 0.677
Au 0.599 0.750 0.471
Au 0.603 0.250 0.893
Au 0.653 0.750 0.235
Au 0.847 0.250 0.735
Au 0.897 0.750 0.393
Au 0.901 0.250 0.971
Au 0.905 0.004 0.177
Au 0.905 0.496 0.177

E	-22.39	eV/f.u.
Fermi-level density of states	9.14	states/eV/cell
total magnetic moment	0.0	μB/f.u.
space-group type	Pnma, No. 62



# 3
DFT (PBE-GGA) results for a relaxed structure of Tb2Pm4Sb3N2.

abc: 13.233 13.233 13.233
angles: 159.27 159.27 29.49
Atoms (fractional coordinates):
Tb 0.193 0.193 0.000
Tb 0.807 0.807 0.000
Pm 0.084 0.584 0.500
Pm 0.416 0.916 0.500
Pm 0.584 0.084 0.500
Pm 0.916 0.416 0.500
Sb 0.319 0.319 0.000
Sb 0.500 0.500 0.000
Sb 0.681 0.681 0.000
N 0.106 0.106 0.000
N 0.894 0.894 0.000

Fermi-level density of states	3.76	states/eV/cell
total magnetic moment	0.0	μB/f.u.
formation energy from raw total energies	-110.78	kJ per mole of atoms
space-group type	I4/mmm, No. 139



# 4
DFT (PBE-GGA) results for a relaxed structure of Cr2IrAu.

abc: 5.653 5.653 5.653
angles: 103.85 103.85 121.40
Atoms (fractional coordinates):
Cr 0.102 0.625 0.977
Cr 0.375 0.352 0.477
Cr 0.648 0.125 0.023
Cr 0.875 0.898 0.523
Ir 0.000 0.000 0.000
Ir 0.750 0.250 0.500
Au 0.250 0.750 0.500
Au 0.500 0.500 0.000

energy above the most stable polymorph in this dataset	494	meV per atom
Fermi-level density of states	9.18	states/eV/cell
total magnetic moment	6.4	μB/f.u.
space-group type	I-42d, No. 122



# 5
DFT (PBE-GGA) results for a relaxed structure of TbNpIr4.

abc: 5.356 5.356 5.356
angles: 60.00 60.00 60.00
Atoms (fractional coordinates):
Tb 0.000 0.000 0.000
Np 0.750 0.750 0.750
Ir 0.375 0.375 0.375
Ir 0.375 0.375 0.875
Ir 0.375 0.875 0.375
Ir 0.875 0.375 0.375

E	-56.60	eV/f.u.
Fermi-level density of states	8.60	states/eV/cell
total magnetic moment	3.5	μB/f.u.
space-group type	F-43m, No. 216



# 6
DFT (PBE-GGA) results for a relaxed structure of Rb3IrSe3.

abc: 10.123 10.123 6.839
angles: 90.00 90.00 119.78
Atoms (fractional coordinates):
Rb 0.194 0.806 0.750
Rb 0.195 0.389 0.750
Rb 0.389 0.195 0.250
Rb 0.611 0.805 0.750
Rb 0.805 0.611 0.250
Rb 0.806 0.194 0.250
Ir 0.333 0.667 0.250
Ir 0.667 0.333 0.750
Se 0.200 0.800 0.250
Se 0.201 0.402 0.250
Se 0.402 0.201 0.750
Se 0.598 0.799 0.250
Se 0.799 0.598 0.750
Se 0.800 0.200 0.750

Fermi-level density of states	5.35	states/eV/cell
total magnetic moment	0.0	μB/f.u.
formation energy from raw total energies	-56.47	kJ per mole of atoms
space-group type	Cmcm, No. 63



# 7
DFT (PBE-GGA) results for a relaxed structure of CaHf2Pb2.

abc: 8.670 8.670 3.485
angles: 90.00 90.00 90.00
Atoms (fractional coordinates):
Ca 0.000 0.000 0.000
Ca 0.500 0.500 0.000
Hf 0.127 0.373 0.500
Hf 0.373 0.873 0.500
Hf 0.627 0.127 0.500
Hf 0.873 0.627 0.500
Pb 0.165 0.665 0.000
Pb 0.335 0.165 0.000
Pb 0.665 0.835 0.000
Pb 0.835 0.335 0.000

energy above the most stable polymorph in this dataset	0	meV per atom
Fermi-level density of states	9.72	states/eV/cell
total magnetic moment	0.6	μB/f.u.
space-group type	P4/mbm, No. 127



# 8
DFT (PBE-GGA) results for a relaxed structure of Pr6Co2CCl3.

abc: 9.697 9.697 8.749
angles: 110.29 110.29 23.24
Atoms (fractional coordinates):
Pr 0.011 0.011 0.213
Pr 0.326 0.326 0.436
Pr 0.351 0.351 0.886
Pr 0.649 0.649 0.114
Pr 0.674 0.674 0.564
Pr 0.989 0.989 0.787
Co 0.167 0.167 0.342
Co 0.833 0.833 0.658
C 0.500 0.500 0.000
Cl 0.161 0.161 0.842
Cl 0.500 0.500 0.500
Cl 0.839 0.839 0.158

Fermi-level density of states	5.79	states/eV/cell
total magnetic moment	0.0	μB/f.u.
formation energy from raw total energies	-80.65	kJ per mole of atoms
space-group type	C2/m, No. 12



# 9
DFT (PBE-GGA) results for a relaxed structure of InPd5Pt2.

abc: 5.602 5.602 11.137
angles: 90.00 90.00 129.79
Atoms (fractional coordinates):
In 0.118 0.882 0.750
In 0.882 0.118 0.250
Pd 0.133 0.867 0.004
Pd 0.133 0.867 0.496
Pd 0.146 0.854 0.250
Pd 0.366 0.634 0.624
Pd 0.366 0.634 0.876
Pd 0.634 0.366 0.124
Pd 0.634 0.366 0.376
Pd 0.854 0.146 0.750
Pd 0.867 0.133 0.504
Pd 0.867 0.133 0.996
Pt 0.374 0.626 0.121
Pt 0.374 0.626 0.379
Pt 0.626 0.374 0.621
Pt 0.626 0.374 0.879

energy above the most stable polymorph in this dataset	178	meV per atom
Fermi-level density of states	18.25	states/eV/cell
total magnetic moment	0.0	μB/f.u.
space-group type	Cmcm, No. 63